Computed, not measured: K2AgN2 after structural relaxation at the PBE level of DFT.

Results
Uncorrected formation energy = 1.412 eV/atom
Total moment = 6.75 μB/cell

Structure (CIF):
```
data_K2AgN2
_symmetry_space_group_name_H-M 'P 4/m b m'
_symmetry_Int_Tables_number 127
_symmetry_space_group_name_Hall '-P 4 2ab'
_cell_length_a 8.0923
_cell_length_b 8.0923
_cell_length_c 3.2133
_cell_angle_alpha 90.00
_cell_angle_beta 90.00
_cell_angle_gamma 90.00
loop_
_atom_site_label
_atom_site_type_symbol
_atom_site_fract_x
_atom_site_fract_y
_atom_site_fract_z
_atom_site_occupancy
K1 K 0.1384 0.3616 0.0000 1
Ag1 Ag 0.0000 0.0000 0.0000 1
N1 N 0.1617 0.6617 0.5000 1
```